[1]
Here is an optimized crystal structure of CuBiMo4C2 from OQMD. Energies are from GGA-PBE.

Values from the calculation:
- crystal system = hexagonal

Geometry as POSCAR:
```
CuBiMo4C2
1.0
3.1679 0.0000 0.0000
-1.5840 2.7435 0.0000
0.0000 0.0000 13.4569
Cu Bi Mo C
1 1 4 2
direct
0.0000 0.0000 0.0000
0.6667 0.3333 0.5000
0.0000 0.0000 0.3097
0.0000 0.0000 0.6903
0.6667 0.3333 0.1477
0.6667 0.3333 0.8523
0.3333 0.6667 0.2311
0.3333 0.6667 0.7689
```

[2]
Here is an optimized crystal structure of Sc4CuBiC2 from OQMD. Energies are from GGA-PBE.

Values from the calculation:
- crystal system = hexagonal

Geometry as POSCAR:
```
Sc4CuBiC2
1.0
3.4178 0.0000 0.0000
-1.7089 2.9599 0.0000
0.0000 0.0000 13.7955
Sc Cu Bi C
4 1 1 2
direct
0.0000 0.0000 0.1436
0.0000 0.0000 0.8564
0.3333 0.6667 0.3163
0.3333 0.6667 0.6837
0.3333 0.6667 0.0000
0.0000 0.0000 0.5000
0.6667 0.3333 0.2333
0.6667 0.3333 0.7667
```

[3]
Here is an optimized crystal structure of Ta4CuBiC2 from OQMD. Energies are from GGA-PBE.

Values from the calculation:
- crystal system = hexagonal

Geometry as POSCAR:
```
Ta4CuBiC2
1.0
3.2343 0.0000 0.0000
-1.6171 2.8010 0.0000
0.0000 0.0000 13.5359
Ta Cu Bi C
4 1 1 2
direct
0.0000 0.0000 0.1510
0.0000 0.0000 0.8490
0.6667 0.3333 0.3221
0.6667 0.3333 0.6779
0.6667 0.3333 0.0000
0.0000 0.0000 0.5000
0.3333 0.6667 0.2367
0.3333 0.6667 0.7633
```

no.,theoretical density (g/cm³),uncorrected energy (eV/cell)
1,9.66,-67.69
2,5.67,-55.34
3,13.82,-74.68